(1)
A plane-wave DFT calculation with PBE was carried out for a relaxed structure of Rb3Li2ScBr8.

Computed properties:
- total magnetic moment (Bohr magnetons per cell) = 0.00

a b c (Å): 7.627 7.627 9.819
angles (deg): 90.00 90.00 120.00
Atoms (fractional coordinates):
Rb (0.000, 0.000, 0.000)
Rb (0.333, 0.667, 0.635)
Rb (0.667, 0.333, 0.365)
Li (0.333, 0.667, 0.205)
Li (0.667, 0.333, 0.795)
Sc (0.000, 0.000, 0.500)
Br (0.162, 0.324, 0.339)
Br (0.162, 0.838, 0.339)
Br (0.324, 0.162, 0.661)
Br (0.333, 0.667, 0.965)
Br (0.667, 0.333, 0.035)
Br (0.676, 0.838, 0.339)
Br (0.838, 0.162, 0.661)
Br (0.838, 0.676, 0.661)

(2)
A plane-wave DFT calculation with PBE was carried out for a relaxed structure of Rb3Li2ScBr9.

Computed properties:
- total magnetic moment (Bohr magnetons per cell) = 0.05

a b c (Å): 7.608 7.608 9.512
angles (deg): 90.00 90.00 120.00
Atoms (fractional coordinates):
Rb (0.000, 0.000, 0.000)
Rb (0.333, 0.667, 0.676)
Rb (0.667, 0.333, 0.324)
Li (0.333, 0.667, 0.149)
Li (0.667, 0.333, 0.851)
Sc (0.000, 0.000, 0.500)
Br (0.000, 0.500, 0.000)
Br (0.164, 0.329, 0.339)
Br (0.164, 0.836, 0.339)
Br (0.329, 0.164, 0.661)
Br (0.500, 0.000, 0.000)
Br (0.500, 0.500, 0.000)
Br (0.671, 0.836, 0.339)
Br (0.836, 0.164, 0.661)
Br (0.836, 0.671, 0.661)

(3)
A plane-wave DFT calculation with PBE was carried out for a relaxed structure of RbLiSe2Br.

Computed properties:
- total magnetic moment (Bohr magnetons per cell) = 0.80
- excess energy over the best structure of this formula in the dataset (meV per atom) = 0

a b c (Å): 4.757 4.757 6.520
angles (deg): 90.00 90.00 90.00
Atoms (fractional coordinates):
Rb (0.000, 0.000, 0.000)
Li (0.500, 0.500, 0.500)
Se (0.000, 0.500, 0.500)
Se (0.500, 0.000, 0.500)
Br (0.500, 0.500, 0.000)

(4)
A plane-wave DFT calculation with PBE was carried out for a relaxed structure of RbLi2SeBr.

Computed properties:
- total magnetic moment (Bohr magnetons per cell) = 0.00

a b c (Å): 7.766 7.766 7.766
angles (deg): 147.64 147.64 46.41
Atoms (fractional coordinates):
Rb (0.000, 0.000, 0.000)
Li (0.223, 0.723, 0.500)
Li (0.723, 0.223, 0.500)
Se (0.633, 0.633, 0.000)
Br (0.333, 0.333, 0.000)

(5)
A plane-wave DFT calculation with PBE was carried out for a relaxed structure of RbLiSe2Br.

Computed properties:
- total magnetic moment (Bohr magnetons per cell) = 3.00
- excess energy over the best structure of this formula in the dataset (meV per atom) = 738

a b c (Å): 6.325 6.325 6.385
angles (deg): 90.00 90.00 90.00
Atoms (fractional coordinates):
Rb (0.000, 0.000, 0.000)
Li (0.500, 0.500, 0.500)
Se (0.000, 0.500, 0.000)
Se (0.500, 0.000, 0.000)
Br (0.000, 0.000, 0.500)

(6)
A plane-wave DFT calculation with PBE was carried out for a relaxed structure of Rb2LiSiBr6.

Computed properties:
- total magnetic moment (Bohr magnetons per cell) = 0.00

a b c (Å): 7.563 7.563 7.563
angles (deg): 120.05 120.05 89.91
Atoms (fractional coordinates):
Rb (0.250, 0.750, 0.500)
Rb (0.750, 0.250, 0.500)
Li (0.000, 0.000, 0.000)
Si (0.500, 0.500, 0.000)
Br (0.259, 0.259, 0.000)
Br (0.259, 0.259, 0.518)
Br (0.259, 0.741, 0.000)
Br (0.741, 0.259, 0.000)
Br (0.741, 0.741, 0.000)
Br (0.741, 0.741, 0.482)

(7)
A plane-wave DFT calculation with PBE was carried out for a relaxed structure of RbLiSmBr5.

Computed properties:
- total magnetic moment (Bohr magnetons per cell) = 0.00

a b c (Å): 8.041 8.041 10.808
angles (deg): 103.72 103.72 107.20
Atoms (fractional coordinates):
Rb (0.153, 0.847, 0.750)
Rb (0.847, 0.153, 0.250)
Li (0.192, 0.808, 0.250)
Li (0.808, 0.192, 0.750)
Sm (0.500, 0.500, 0.000)
Sm (0.500, 0.500, 0.500)
Br (0.124, 0.257, 0.924)
Br (0.192, 0.594, 0.392)
Br (0.257, 0.124, 0.424)
Br (0.406, 0.808, 0.108)
Br (0.421, 0.579, 0.750)
Br (0.579, 0.421, 0.250)
Br (0.594, 0.192, 0.892)
Br (0.743, 0.876, 0.576)
Br (0.808, 0.406, 0.608)
Br (0.876, 0.743, 0.076)

(8)
A plane-wave DFT calculation with PBE was carried out for a relaxed structure of RbLiSnBr6.

Computed properties:
- total magnetic moment (Bohr magnetons per cell) = 0.00

a b c (Å): 7.059 7.059 15.413
angles (deg): 90.00 90.00 120.00
Atoms (fractional coordinates):
Rb (0.000, 0.000, 0.000)
Rb (0.000, 0.000, 0.500)
Li (0.333, 0.667, 0.250)
Li (0.667, 0.333, 0.750)
Sn (0.333, 0.667, 0.750)
Sn (0.667, 0.333, 0.250)
Br (0.011, 0.377, 0.650)
Br (0.011, 0.634, 0.850)
Br (0.366, 0.377, 0.850)
Br (0.366, 0.989, 0.650)
Br (0.377, 0.011, 0.150)
Br (0.377, 0.366, 0.350)
Br (0.623, 0.634, 0.650)
Br (0.623, 0.989, 0.850)
Br (0.634, 0.011, 0.350)
Br (0.634, 0.623, 0.150)
Br (0.989, 0.366, 0.150)
Br (0.989, 0.623, 0.350)

(9)
A plane-wave DFT calculation with PBE was carried out for a relaxed structure of RbLi2Sn2Br7.

Computed properties:
- total magnetic moment (Bohr magnetons per cell) = 0.00

a b c (Å): 12.374 12.374 12.374
angles (deg): 152.48 39.43 152.33
Atoms (fractional coordinates):
Rb (0.000, 0.000, 0.000)
Li (0.326, 0.577, 0.749)
Li (0.827, 0.577, 0.251)
Sn (0.478, 0.107, 0.372)
Sn (0.735, 0.107, 0.628)
Br (0.232, 0.599, 0.633)
Br (0.365, 0.116, 0.248)
Br (0.480, 0.612, 0.868)
Br (0.651, 0.151, 0.500)
Br (0.744, 0.612, 0.132)
Br (0.868, 0.116, 0.752)
Br (0.966, 0.599, 0.367)

(10)
A plane-wave DFT calculation with PBE was carried out for a relaxed structure of Rb2LiSnBr5.

Computed properties:
- total magnetic moment (Bohr magnetons per cell) = 0.00

a b c (Å): 9.914 9.914 14.740
angles (deg): 90.00 90.00 152.63
Atoms (fractional coordinates):
Rb (0.098, 0.902, 0.500)
Rb (0.157, 0.843, 0.146)
Rb (0.843, 0.157, 0.646)
Rb (0.902, 0.098, 0.000)
Li (0.233, 0.767, 0.898)
Li (0.767, 0.233, 0.398)
Sn (0.459, 0.541, 0.271)
Sn (0.541, 0.459, 0.771)
Br (0.087, 0.913, 0.875)
Br (0.274, 0.726, 0.482)
Br (0.338, 0.662, 0.178)
Br (0.356, 0.644, 0.829)
Br (0.477, 0.523, 0.594)
Br (0.523, 0.477, 0.094)
Br (0.644, 0.356, 0.329)
Br (0.662, 0.338, 0.678)
Br (0.726, 0.274, 0.982)
Br (0.913, 0.087, 0.375)

(11)
A plane-wave DFT calculation with PBE was carried out for a relaxed structure of RbSrLiBr4.

Computed properties:
- total magnetic moment (Bohr magnetons per cell) = 0.00

a b c (Å): 7.287 7.471 9.440
angles (deg): 90.00 108.49 90.00
Atoms (fractional coordinates):
Rb (0.240, 0.250, 0.440)
Rb (0.760, 0.750, 0.560)
Sr (0.278, 0.250, 0.948)
Sr (0.722, 0.750, 0.052)
Li (0.267, 0.750, 0.179)
Li (0.733, 0.250, 0.821)
Br (0.052, 0.750, 0.917)
Br (0.065, 0.750, 0.347)
Br (0.493, 0.502, 0.784)
Br (0.493, 0.998, 0.784)
Br (0.507, 0.002, 0.216)
Br (0.507, 0.498, 0.216)
Br (0.935, 0.250, 0.653)
Br (0.948, 0.250, 0.083)

(12)
A plane-wave DFT calculation with PBE was carried out for a relaxed structure of RbSr2LiBr6.

Computed properties:
- total magnetic moment (Bohr magnetons per cell) = 0.00

a b c (Å): 8.328 8.328 8.328
angles (deg): 56.08 56.08 56.08
Atoms (fractional coordinates):
Rb (0.000, 0.000, 0.000)
Sr (0.279, 0.279, 0.279)
Sr (0.795, 0.795, 0.795)
Li (0.468, 0.468, 0.468)
Br (0.085, 0.635, 0.438)
Br (0.208, 0.558, 0.868)
Br (0.438, 0.085, 0.635)
Br (0.558, 0.868, 0.208)
Br (0.635, 0.438, 0.085)
Br (0.868, 0.208, 0.558)

Computed E_tot (eV per atom) in order:
-3.530 -3.405 -2.875 -3.368 -2.136 -3.094 -3.764 -2.972 -3.207 -3.140 -3.450 -3.523
Computed energy relative to the elements, uncorrected (eV per formula unit) in order:
-23.0 -23.0 -2.9 -6.9 0.8 -11.6 -14.1 -9.8 -14.0 -12.0 -12.9 -19.0